<a>
Entry from Alexandria via LeMat-Bulk: a relaxed structure of CsPuCl4 (PBE).

Values from the calculation:
- crystal system = monoclinic

Cell and atoms, written as CIF:
```
data_CsPuCl4
_chemical_formula_sum 'Cs2 Pu2 Cl8'
_space_group_name_H-M_alt 'P 1'
_space_group_IT_number 1
_cell_length_a 7.185
_cell_length_b 7.390
_cell_length_c 8.325
_cell_angle_alpha 90.00
_cell_angle_beta 92.70
_cell_angle_gamma 90.00
loop_
_space_group_symop_operation_xyz
'x,y,z'
loop_
_atom_site_label
_atom_site_type_symbol
_atom_site_fract_x
_atom_site_fract_y
_atom_site_fract_z
_atom_site_occupancy
Cl1 Cl 0.439 0.904 0.195 1
Cl2 Cl 0.183 0.819 0.586 1
Cl3 Cl 0.317 0.319 0.414 1
Cl4 Cl 0.561 0.096 0.805 1
Cl5 Cl 0.817 0.181 0.414 1
Cl6 Cl 0.939 0.596 0.195 1
Cl7 Cl 0.061 0.404 0.805 1
Cl8 Cl 0.683 0.681 0.586 1
Pu1 Pu 0.500 0.000 0.500 1
Pu2 Pu 0.000 0.500 0.500 1
Cs1 Cs 0.000 0.000 0.000 1
Cs2 Cs 0.500 0.500 0.000 1
```



<b>
Entry from Alexandria via LeMat-Bulk: a relaxed structure of CsPuCl4 (PBE).

Values from the calculation:
- crystal system = monoclinic

Cell and atoms, written as CIF:
```
data_CsPuCl4
_chemical_formula_sum 'Cs2 Pu2 Cl8'
_space_group_name_H-M_alt 'P 1'
_space_group_IT_number 1
_cell_length_a 6.911
_cell_length_b 8.773
_cell_length_c 8.814
_cell_angle_alpha 114.24
_cell_angle_beta 106.34
_cell_angle_gamma 102.85
loop_
_space_group_symop_operation_xyz
'x,y,z'
loop_
_atom_site_label
_atom_site_type_symbol
_atom_site_fract_x
_atom_site_fract_y
_atom_site_fract_z
_atom_site_occupancy
Cl1 Cl 0.393 0.946 0.706 1
Cl2 Cl 0.380 0.696 0.893 1
Cl3 Cl 0.013 0.197 0.893 1
Cl4 Cl 0.607 0.054 0.294 1
Cl5 Cl 0.620 0.304 0.107 1
Cl6 Cl 0.187 0.240 0.294 1
Cl7 Cl 0.987 0.803 0.107 1
Cl8 Cl 0.813 0.760 0.706 1
Pu1 Pu 0.766 0.016 0.032 1
Pu2 Pu 0.234 0.984 0.968 1
Cs1 Cs 0.608 0.358 0.717 1
Cs2 Cs 0.392 0.642 0.283 1
```



On energetic grounds, <a> is preferred over the next structure by 3.9 kJ/mol of atoms.



<a>
Entry from Alexandria via LeMat-Bulk: a relaxed structure of Cs2PuCl5 (PBE).

Values from the calculation:
- crystal system = tetragonal

Cell and atoms, written as CIF:
```
data_Cs2PuCl5
_chemical_formula_sum 'Cs2 Pu1 Cl5'
_space_group_name_H-M_alt 'P 1'
_space_group_IT_number 1
_cell_length_a 7.589
_cell_length_b 7.589
_cell_length_c 7.589
_cell_angle_alpha 100.04
_cell_angle_beta 114.38
_cell_angle_gamma 114.38
loop_
_space_group_symop_operation_xyz
'x,y,z'
loop_
_atom_site_label
_atom_site_type_symbol
_atom_site_fract_x
_atom_site_fract_y
_atom_site_fract_z
_atom_site_occupancy
Cl1 Cl 0.000 0.210 0.754 1
Cl2 Cl 0.456 0.210 0.210 1
Cl3 Cl 0.000 0.754 0.210 1
Cl4 Cl 0.000 0.280 0.280 1
Cl5 Cl 0.544 0.754 0.754 1
Cs1 Cs 0.500 0.746 0.246 1
Cs2 Cs 0.500 0.246 0.746 1
Pu1 Pu 0.000 0.020 0.020 1
```



<b>
Entry from Alexandria via LeMat-Bulk: a relaxed structure of Cs2PuCl5 (PBE).

Values from the calculation:
- crystal system = orthorhombic

Cell and atoms, written as CIF:
```
data_Cs2PuCl5
_chemical_formula_sum 'Cs8 Pu4 Cl20'
_space_group_name_H-M_alt 'P 1'
_space_group_IT_number 1
_cell_length_a 7.683
_cell_length_b 9.940
_cell_length_c 15.628
_cell_angle_alpha 90.00
_cell_angle_beta 90.00
_cell_angle_gamma 90.00
loop_
_space_group_symop_operation_xyz
'x,y,z'
loop_
_atom_site_label
_atom_site_type_symbol
_atom_site_fract_x
_atom_site_fract_y
_atom_site_fract_z
_atom_site_occupancy
Cl1 Cl 0.994 0.339 0.115 1
Cl2 Cl 0.750 0.970 0.795 1
Cl3 Cl 0.494 0.161 0.615 1
Cl4 Cl 0.494 0.661 0.885 1
Cl5 Cl 0.250 0.784 0.598 1
Cl6 Cl 0.250 0.030 0.205 1
Cl7 Cl 0.750 0.470 0.705 1
Cl8 Cl 0.994 0.839 0.385 1
Cl9 Cl 0.500 0.000 0.000 1
Cl10 Cl 0.250 0.284 0.902 1
Cl11 Cl 0.000 0.500 0.500 1
Cl12 Cl 0.006 0.161 0.615 1
Cl13 Cl 0.000 0.000 0.000 1
Cl14 Cl 0.750 0.716 0.098 1
Cl15 Cl 0.506 0.339 0.115 1
Cl16 Cl 0.750 0.216 0.402 1
Cl17 Cl 0.506 0.839 0.385 1
Cl18 Cl 0.250 0.530 0.295 1
Cl19 Cl 0.500 0.500 0.500 1
Cl20 Cl 0.006 0.661 0.885 1
Pu1 Pu 0.750 0.821 0.937 1
Pu2 Pu 0.750 0.321 0.563 1
Pu3 Pu 0.250 0.679 0.437 1
Pu4 Pu 0.250 0.179 0.063 1
Cs1 Cs 0.250 0.659 0.083 1
Cs2 Cs 0.750 0.025 0.214 1
Cs3 Cs 0.250 0.975 0.786 1
Cs4 Cs 0.250 0.159 0.417 1
Cs5 Cs 0.250 0.475 0.714 1
Cs6 Cs 0.750 0.341 0.917 1
Cs7 Cs 0.750 0.841 0.583 1
Cs8 Cs 0.750 0.525 0.286 1
```



On energetic grounds, <b> is preferred over the next structure by 7.0 kJ/mol of atoms.



<a>
Entry from Alexandria via LeMat-Bulk: a relaxed structure of Cs2Rb2Cl (PBE).

Values from the calculation:
- crystal system = tetragonal

Cell and atoms, written as CIF:
```
data_Cs2Rb2Cl
_chemical_formula_sum 'Cs4 Rb4 Cl2'
_space_group_name_H-M_alt 'P 1'
_space_group_IT_number 1
_cell_length_a 6.285
_cell_length_b 6.285
_cell_length_c 21.245
_cell_angle_alpha 98.51
_cell_angle_beta 98.51
_cell_angle_gamma 90.00
loop_
_space_group_symop_operation_xyz
'x,y,z'
loop_
_atom_site_label
_atom_site_type_symbol
_atom_site_fract_x
_atom_site_fract_y
_atom_site_fract_z
_atom_site_occupancy
Cs1 Cs 0.533 0.033 0.067 1
Cs2 Cs 0.717 0.717 0.433 1
Cs3 Cs 0.283 0.283 0.567 1
Cs4 Cs 0.967 0.467 0.933 1
Rb1 Rb 0.414 0.914 0.828 1
Rb2 Rb 0.164 0.164 0.328 1
Rb3 Rb 0.086 0.586 0.172 1
Rb4 Rb 0.836 0.836 0.672 1
Cl1 Cl 0.750 0.250 0.500 1
Cl2 Cl 0.500 0.500 0.000 1
```



<b>
Entry from Alexandria via LeMat-Bulk: a relaxed structure of Cs2Rb2Cl (PBE).

Values from the calculation:
- crystal system = tetragonal

Cell and atoms, written as CIF:
```
data_Cs2Rb2Cl
_chemical_formula_sum 'Cs4 Rb4 Cl2'
_space_group_name_H-M_alt 'P 1'
_space_group_IT_number 1
_cell_length_a 9.467
_cell_length_b 9.467
_cell_length_c 9.541
_cell_angle_alpha 90.00
_cell_angle_beta 90.00
_cell_angle_gamma 90.00
loop_
_space_group_symop_operation_xyz
'x,y,z'
loop_
_atom_site_label
_atom_site_type_symbol
_atom_site_fract_x
_atom_site_fract_y
_atom_site_fract_z
_atom_site_occupancy
Cl1 Cl 0.500 0.500 0.000 1
Cl2 Cl 0.000 0.000 0.000 1
Rb1 Rb 0.674 0.826 0.500 1
Rb2 Rb 0.826 0.326 0.500 1
Rb3 Rb 0.174 0.674 0.500 1
Rb4 Rb 0.326 0.174 0.500 1
Cs1 Cs 0.204 0.296 0.000 1
Cs2 Cs 0.796 0.704 0.000 1
Cs3 Cs 0.704 0.204 0.000 1
Cs4 Cs 0.296 0.796 0.000 1
```



On energetic grounds, <a> is preferred over the next structure by 1.0 kJ/mol of atoms.



<a>
Entry from Alexandria via LeMat-Bulk: a relaxed structure of Cs2RbCl (PBE).

Values from the calculation:
- crystal system = cubic

Cell and atoms, written as CIF:
```
data_Cs2RbCl
_chemical_formula_sum 'Cs2 Rb1 Cl1'
_space_group_name_H-M_alt 'P 1'
_space_group_IT_number 1
_cell_length_a 7.364
_cell_length_b 7.364
_cell_length_c 7.364
_cell_angle_alpha 60.00
_cell_angle_beta 60.00
_cell_angle_gamma 60.00
loop_
_space_group_symop_operation_xyz
'x,y,z'
loop_
_atom_site_label
_atom_site_type_symbol
_atom_site_fract_x
_atom_site_fract_y
_atom_site_fract_z
_atom_site_occupancy
Cl1 Cl 0.000 0.000 0.000 1
Rb1 Rb 0.500 0.500 0.500 1
Cs1 Cs 0.250 0.250 0.250 1
Cs2 Cs 0.750 0.750 0.750 1
```



<b>
Entry from Alexandria via LeMat-Bulk: a relaxed structure of Cs2RbCl (PBE).

Values from the calculation:
- crystal system = tetragonal

Cell and atoms, written as CIF:
```
data_Cs2RbCl
_chemical_formula_sum 'Cs4 Rb2 Cl2'
_space_group_name_H-M_alt 'P 1'
_space_group_IT_number 1
_cell_length_a 9.863
_cell_length_b 9.863
_cell_length_c 9.863
_cell_angle_alpha 115.10
_cell_angle_beta 115.10
_cell_angle_gamma 98.73
loop_
_space_group_symop_operation_xyz
'x,y,z'
loop_
_atom_site_label
_atom_site_type_symbol
_atom_site_fract_x
_atom_site_fract_y
_atom_site_fract_z
_atom_site_occupancy
Cs1 Cs 0.875 0.740 0.365 1
Cs2 Cs 0.490 0.125 0.865 1
Cs3 Cs 0.375 0.510 0.635 1
Cs4 Cs 0.260 0.625 0.135 1
Rb1 Rb 0.000 0.000 0.000 1
Rb2 Rb 0.750 0.250 0.500 1
Cl1 Cl 0.500 0.500 0.000 1
Cl2 Cl 0.250 0.750 0.500 1
```



On energetic grounds, <b> is preferred over the next structure by 28.2 kJ/mol of atoms.



<a>
Entry from Alexandria via LeMat-Bulk: a relaxed structure of Cs2RbCl (PBE).

Values from the calculation:
- crystal system = tetragonal

Cell and atoms, written as CIF:
```
data_Cs2RbCl
_chemical_formula_sum 'Cs2 Rb1 Cl1'
_space_group_name_H-M_alt 'P 1'
_space_group_IT_number 1
_cell_length_a 4.519
_cell_length_b 4.519
_cell_length_c 12.826
_cell_angle_alpha 90.00
_cell_angle_beta 90.00
_cell_angle_gamma 90.00
loop_
_space_group_symop_operation_xyz
'x,y,z'
loop_
_atom_site_label
_atom_site_type_symbol
_atom_site_fract_x
_atom_site_fract_y
_atom_site_fract_z
_atom_site_occupancy
Cs1 Cs 0.000 0.000 0.842 1
Cs2 Cs 0.000 0.000 0.158 1
Rb1 Rb 0.500 0.500 0.500 1
Cl1 Cl 0.500 0.500 0.000 1
```



<b>
Entry from Alexandria via LeMat-Bulk: a relaxed structure of Cs2RbCl (PBE).

Values from the calculation:
- crystal system = trigonal

Cell and atoms, written as CIF:
```
data_Cs2RbCl
_chemical_formula_sum 'Cs2 Rb1 Cl1'
_space_group_name_H-M_alt 'P 1'
_space_group_IT_number 1
_cell_length_a 5.096
_cell_length_b 5.096
_cell_length_c 13.289
_cell_angle_alpha 78.95
_cell_angle_beta 78.95
_cell_angle_gamma 60.00
loop_
_space_group_symop_operation_xyz
'x,y,z'
loop_
_atom_site_label
_atom_site_type_symbol
_atom_site_fract_x
_atom_site_fract_y
_atom_site_fract_z
_atom_site_occupancy
Rb1 Rb 0.500 0.500 0.500 1
Cs1 Cs 0.281 0.281 0.157 1
Cs2 Cs 0.719 0.719 0.843 1
Cl1 Cl 0.000 0.000 0.000 1
```



On energetic grounds, <b> is preferred over the next structure by 5.2 kJ/mol of atoms.



<a>
Entry from Alexandria via LeMat-Bulk: a relaxed structure of CsRbCl (PBE).

Values from the calculation:
- crystal system = trigonal

Cell and atoms, written as CIF:
```
data_CsRbCl
_chemical_formula_sum 'Cs1 Rb1 Cl1'
_space_group_name_H-M_alt 'P 1'
_space_group_IT_number 1
_cell_length_a 4.941
_cell_length_b 4.941
_cell_length_c 8.590
_cell_angle_alpha 90.00
_cell_angle_beta 90.00
_cell_angle_gamma 120.00
loop_
_space_group_symop_operation_xyz
'x,y,z'
loop_
_atom_site_label
_atom_site_type_symbol
_atom_site_fract_x
_atom_site_fract_y
_atom_site_fract_z
_atom_site_occupancy
Rb1 Rb 0.333 0.667 0.563 1
Cs1 Cs 0.000 0.000 0.098 1
Cl1 Cl 0.667 0.333 0.339 1
```



<b>
Entry from Alexandria via LeMat-Bulk: a relaxed structure of CsRbCl (PBE).

Values from the calculation:
- crystal system = tetragonal

Cell and atoms, written as CIF:
```
data_CsRbCl
_chemical_formula_sum 'Cs1 Rb1 Cl1'
_space_group_name_H-M_alt 'P 1'
_space_group_IT_number 1
_cell_length_a 4.333
_cell_length_b 4.333
_cell_length_c 9.079
_cell_angle_alpha 103.80
_cell_angle_beta 103.80
_cell_angle_gamma 90.00
loop_
_space_group_symop_operation_xyz
'x,y,z'
loop_
_atom_site_label
_atom_site_type_symbol
_atom_site_fract_x
_atom_site_fract_y
_atom_site_fract_z
_atom_site_occupancy
Cl1 Cl 0.668 0.668 0.337 1
Rb1 Rb 0.049 0.049 0.097 1
Cs1 Cs 0.283 0.283 0.566 1
```



On energetic grounds, <a> is preferred over the next structure by 5.1 kJ/mol of atoms.